[1]
{"formula": "Tb3Te2", "functional": "GGA-PBE", "state": "relaxed", "mass_density_g_cm3": 8.424, "dft_energy_ev_per_atom": -5.113, "vol_a3_per_cell": 577, "sg": "No. 62", "lattice_angstrom": [[11.9096, 0.0000, 0.0000], [0.0000, 4.1312, 0.0000], [0.0000, 0.0000, 11.7305]], "species": ["Tb", "Tb", "Tb", "Tb", "Tb", "Tb", "Tb", "Tb", "Tb", "Tb", "Tb", "Tb", "Te", "Te", "Te", "Te", "Te", "Te", "Te", "Te"], "fractional_positions": [[0.0458, 0.2500, 0.1238], [0.1220, 0.7500, 0.5653], [0.2111, 0.2500, 0.7922], [0.2889, 0.7500, 0.2922], [0.3780, 0.2500, 0.0653], [0.4542, 0.7500, 0.6238], [0.5458, 0.2500, 0.3762], [0.6220, 0.7500, 0.9347], [0.7111, 0.2500, 0.7078], [0.7889, 0.7500, 0.2078], [0.8780, 0.2500, 0.4347], [0.9542, 0.7500, 0.8762], [0.0311, 0.7500, 0.3190], [0.1940, 0.7500, 0.9956], [0.3060, 0.2500, 0.4956], [0.4689, 0.2500, 0.8190], [0.5311, 0.7500, 0.1810], [0.6940, 0.7500, 0.5044], [0.8060, 0.2500, 0.0044], [0.9689, 0.2500, 0.6810]]}

[2]
{"formula": "Tb8Te", "functional": "GGA-PBE", "state": "relaxed", "mass_density_g_cm3": 8.260, "dft_energy_ev_per_atom": -4.740, "vol_a3_per_cell": 281, "sg": "No. 189", "lattice_angstrom": [[9.2583, 0.0000, 0.0000], [-4.6292, 8.0180, 0.0000], [0.0000, 0.0000, 3.7886]], "species": ["Tb", "Tb", "Tb", "Tb", "Tb", "Tb", "Tb", "Tb", "Te"], "fractional_positions": [[0.0000, 0.2726, 0.0000], [0.0000, 0.6181, 0.5000], [0.2726, 0.0000, 0.0000], [0.3333, 0.6667, 0.0000], [0.3819, 0.3819, 0.5000], [0.6181, 0.0000, 0.5000], [0.6667, 0.3333, 0.0000], [0.7274, 0.7274, 0.0000], [0.0000, 0.0000, 0.5000]]}

[3]
{"formula": "TbThTe", "functional": "GGA-PBE", "state": "relaxed", "relative_energy_ev_per_atom": 0.000, "mass_density_g_cm3": 8.725, "dft_energy_ev_per_atom": -5.386, "vol_a3_per_cell": 99, "sg": "No. 216", "lattice_angstrom": [[0.0000, 3.6679, 3.6679], [3.6679, 0.0000, 3.6679], [3.6679, 3.6679, 0.0000]], "species": ["Tb", "Th", "Te"], "fractional_positions": [[0.0000, 0.0000, 0.0000], [0.5000, 0.5000, 0.5000], [0.2500, 0.2500, 0.2500]]}

[4]
{"formula": "Tb5Tl2Te2", "functional": "GGA-PBE", "state": "relaxed", "mass_density_g_cm3": 9.389, "dft_energy_ev_per_atom": -4.574, "vol_a3_per_cell": 516, "sg": "No. 64", "lattice_angstrom": [[7.8225, -4.0569, 0.0000], [7.8225, 4.0569, 0.0000], [0.0000, 0.0000, 8.1283]], "species": ["Tb", "Tb", "Tb", "Tb", "Tb", "Tb", "Tb", "Tb", "Tb", "Tb", "Tl", "Tl", "Tl", "Tl", "Te", "Te", "Te", "Te"], "fractional_positions": [[0.0000, 0.0000, 0.0000], [0.0303, 0.6947, 0.6644], [0.1947, 0.5303, 0.1644], [0.3053, 0.9697, 0.6644], [0.4697, 0.8053, 0.1644], [0.5000, 0.5000, 0.5000], [0.5303, 0.1947, 0.8356], [0.6947, 0.0303, 0.3356], [0.8053, 0.4697, 0.8356], [0.9697, 0.3053, 0.3356], [0.1339, 0.8661, 0.3687], [0.3661, 0.6339, 0.8687], [0.6339, 0.3661, 0.1313], [0.8661, 0.1339, 0.6313], [0.2010, 0.2010, 0.0000], [0.2990, 0.2990, 0.5000], [0.7010, 0.7010, 0.5000], [0.7990, 0.7990, 0.0000]]}

[5]
{"formula": "TbTmTlTe3", "functional": "GGA-PBE", "state": "relaxed", "relative_energy_ev_per_atom": 0.076, "mass_density_g_cm3": 7.443, "dft_energy_ev_per_atom": -4.446, "vol_a3_per_cell": 408, "sg": "No. 63", "lattice_angstrom": [[2.2127, -7.7059, 0.0000], [2.2127, 7.7059, 0.0000], [0.0000, 0.0000, 11.9730]], "species": ["Tb", "Tb", "Tm", "Tm", "Tl", "Tl", "Te", "Te", "Te", "Te", "Te", "Te"], "fractional_positions": [[0.0000, 0.0000, 0.0000], [0.0000, 0.0000, 0.5000], [0.4380, 0.5620, 0.7500], [0.5620, 0.4380, 0.2500], [0.2512, 0.7488, 0.2500], [0.7488, 0.2512, 0.7500], [0.0645, 0.9355, 0.7500], [0.3575, 0.6425, 0.5315], [0.3575, 0.6425, 0.9685], [0.6425, 0.3575, 0.0315], [0.6425, 0.3575, 0.4685], [0.9355, 0.0645, 0.2500]]}

[6]
{"formula": "TbTmTlTe3", "functional": "GGA-PBE", "state": "relaxed", "relative_energy_ev_per_atom": 0.094, "mass_density_g_cm3": 7.587, "dft_energy_ev_per_atom": -4.428, "vol_a3_per_cell": 401, "sg": "No. 63", "lattice_angstrom": [[2.1798, -7.6663, 0.0000], [2.1798, 7.6663, 0.0000], [0.0000, 0.0000, 11.9842]], "species": ["Tb", "Tb", "Tm", "Tm", "Tl", "Tl", "Te", "Te", "Te", "Te", "Te", "Te"], "fractional_positions": [[0.0741, 0.9259, 0.7500], [0.9259, 0.0741, 0.2500], [0.5000, 0.5000, 0.0000], [0.5000, 0.5000, 0.5000], [0.2447, 0.7553, 0.2500], [0.7553, 0.2447, 0.7500], [0.1418, 0.8582, 0.5203], [0.1418, 0.8582, 0.9797], [0.4396, 0.5604, 0.7500], [0.5604, 0.4396, 0.2500], [0.8582, 0.1418, 0.0203], [0.8582, 0.1418, 0.4797]]}

[7]
{"formula": "TbTmTlTe3", "functional": "GGA-PBE", "state": "relaxed", "relative_energy_ev_per_atom": 0.000, "mass_density_g_cm3": 7.500, "dft_energy_ev_per_atom": -4.522, "vol_a3_per_cell": 405, "sg": "No. 12", "lattice_angstrom": [[9.4553, -2.1651, 0.0000], [9.4553, 2.1651, 0.0000], [-2.3322, 0.0000, 9.8969]], "species": ["Tb", "Tb", "Tm", "Tm", "Tl", "Tl", "Te", "Te", "Te", "Te", "Te", "Te"], "fractional_positions": [[0.0015, 0.0015, 0.2093], [0.9985, 0.9985, 0.7907], [0.3309, 0.3309, 0.9276], [0.6691, 0.6691, 0.0724], [0.3560, 0.3560, 0.4505], [0.6440, 0.6440, 0.5495], [0.0000, 0.0000, 0.5000], [0.1669, 0.1669, 0.8546], [0.1677, 0.1677, 0.2832], [0.5000, 0.5000, 0.0000], [0.8323, 0.8323, 0.7168], [0.8331, 0.8331, 0.1454]]}

[8]
{"formula": "TbYTlTe3", "functional": "GGA-PBE", "state": "relaxed", "relative_energy_ev_per_atom": 0.000, "mass_density_g_cm3": 6.764, "dft_energy_ev_per_atom": -4.796, "vol_a3_per_cell": 410, "sg": "No. 63", "lattice_angstrom": [[2.2177, -7.6849, 0.0000], [2.2177, 7.6849, 0.0000], [0.0000, 0.0000, 12.0288]], "species": ["Tb", "Tb", "Y", "Y", "Tl", "Tl", "Te", "Te", "Te", "Te", "Te", "Te"], "fractional_positions": [[0.0000, 0.0000, 0.0000], [0.0000, 0.0000, 0.5000], [0.4329, 0.5671, 0.7500], [0.5671, 0.4329, 0.2500], [0.2558, 0.7442, 0.2500], [0.7442, 0.2558, 0.7500], [0.0632, 0.9368, 0.7500], [0.3570, 0.6430, 0.5267], [0.3570, 0.6430, 0.9733], [0.6430, 0.3570, 0.0267], [0.6430, 0.3570, 0.4733], [0.9368, 0.0632, 0.2500]]}

[9]
{"formula": "TbYTlTe3", "functional": "GGA-PBE", "state": "relaxed", "relative_energy_ev_per_atom": 0.004, "mass_density_g_cm3": 6.808, "dft_energy_ev_per_atom": -4.792, "vol_a3_per_cell": 407, "sg": "No. 63", "lattice_angstrom": [[2.2131, -7.6309, 0.0000], [2.2131, 7.6309, 0.0000], [0.0000, 0.0000, 12.0605]], "species": ["Tb", "Tb", "Y", "Y", "Tl", "Tl", "Te", "Te", "Te", "Te", "Te", "Te"], "fractional_positions": [[0.0677, 0.9323, 0.7500], [0.9323, 0.0677, 0.2500], [0.5000, 0.5000, 0.0000], [0.5000, 0.5000, 0.5000], [0.2467, 0.7533, 0.2500], [0.7533, 0.2467, 0.7500], [0.1434, 0.8566, 0.5255], [0.1434, 0.8566, 0.9745], [0.4353, 0.5647, 0.7500], [0.5647, 0.4353, 0.2500], [0.8566, 0.1434, 0.0255], [0.8566, 0.1434, 0.4745]]}

[10]
{"formula": "TbZrTlTe3", "functional": "GGA-PBE", "state": "relaxed", "relative_energy_ev_per_atom": 0.000, "mass_density_g_cm3": 7.363, "dft_energy_ev_per_atom": -4.969, "vol_a3_per_cell": 378, "sg": "No. 63", "lattice_angstrom": [[2.0803, -7.7007, 0.0000], [2.0803, 7.7007, 0.0000], [0.0000, 0.0000, 11.7873]], "species": ["Tb", "Tb", "Zr", "Zr", "Tl", "Tl", "Te", "Te", "Te", "Te", "Te", "Te"], "fractional_positions": [[0.0000, 0.0000, 0.0000], [0.0000, 0.0000, 0.5000], [0.4300, 0.5700, 0.7500], [0.5700, 0.4300, 0.2500], [0.2395, 0.7605, 0.2500], [0.7605, 0.2395, 0.7500], [0.0628, 0.9372, 0.7500], [0.3543, 0.6457, 0.5303], [0.3543, 0.6457, 0.9697], [0.6457, 0.3543, 0.0303], [0.6457, 0.3543, 0.4697], [0.9372, 0.0628, 0.2500]]}

[11]
{"formula": "TbZrTlTe3", "functional": "GGA-PBE", "state": "relaxed", "relative_energy_ev_per_atom": 0.026, "mass_density_g_cm3": 7.630, "dft_energy_ev_per_atom": -4.943, "vol_a3_per_cell": 364, "sg": "No. 63", "lattice_angstrom": [[2.0654, -7.6328, 0.0000], [2.0654, 7.6328, 0.0000], [0.0000, 0.0000, 11.5603]], "species": ["Tb", "Tb", "Zr", "Zr", "Tl", "Tl", "Te", "Te", "Te", "Te", "Te", "Te"], "fractional_positions": [[0.0711, 0.9289, 0.7500], [0.9289, 0.0711, 0.2500], [0.5000, 0.5000, 0.0000], [0.5000, 0.5000, 0.5000], [0.2509, 0.7491, 0.2500], [0.7491, 0.2509, 0.7500], [0.1408, 0.8592, 0.5128], [0.1408, 0.8592, 0.9872], [0.4320, 0.5680, 0.7500], [0.5680, 0.4320, 0.2500], [0.8592, 0.1408, 0.0128], [0.8592, 0.1408, 0.4872]]}

[12]
{"formula": "TbTmTe2", "functional": "GGA-PBE", "state": "relaxed", "mass_density_g_cm3": 8.039, "dft_energy_ev_per_atom": -4.923, "vol_a3_per_cell": 241, "sg": "No. 113", "lattice_angstrom": [[7.6698, 0.0000, 0.0000], [0.0000, 7.6698, 0.0000], [0.0000, 0.0000, 4.0948]], "species": ["Tb", "Tb", "Tm", "Tm", "Te", "Te", "Te", "Te"], "fractional_positions": [[0.0000, 0.5000, 0.1962], [0.5000, 0.0000, 0.8038], [0.0000, 0.0000, 0.0000], [0.5000, 0.5000, 0.0000], [0.2152, 0.2848, 0.6941], [0.2848, 0.7848, 0.3059], [0.7152, 0.2152, 0.3059], [0.7848, 0.7152, 0.6941]]}

> What is the formula in the eleventh record?

TbZrTlTe3